Record 1
# NbTeOF2, optimized geometry, DFT PBE
# relative energy among the computed polymorphs = 1.227 eV per atom
# V = 91.6 Å³ per cell
# E = -4.57 eV/atom
# formation energy from raw total energies = -0.1882 eV per atom
# crystal system = tetragonal
# calculated density = 4.977 g/cm³
data_NbTeOF2
_cell_length_a 4.709
_cell_length_b 4.709
_cell_length_c 4.130
_cell_angle_alpha 90.00
_cell_angle_beta 90.00
_cell_angle_gamma 90.00
_space_group_name_H-M_alt 'P 4/m m m'
_space_group_IT_number 123
_space_group_name_Hall '-P 4 2'
loop_
_atom_site_label
_atom_site_type_symbol
_atom_site_fract_x
_atom_site_fract_y
_atom_site_fract_z
Nb1 Nb 0.000 0.000 0.000
Te1 Te 0.500 0.500 0.500
O1 O 0.500 0.500 0.000
F1 F 0.000 0.500 0.500

Record 2
# CrAs2P, optimized geometry, DFT PBE
# energy of formation = 0.178 eV/atom
# V = 142.2 Å³ per cell
# E = -5.91 eV/atom
# crystal system = tetragonal
# calculated density = 5.438 g/cm³
data_CrAs2P
_cell_length_a 5.257
_cell_length_b 5.257
_cell_length_c 5.144
_cell_angle_alpha 90.00
_cell_angle_beta 90.00
_cell_angle_gamma 90.00
_space_group_name_H-M_alt 'I 4/m m m'
_space_group_IT_number 139
_space_group_name_Hall '-I 4 2'
loop_
_atom_site_label
_atom_site_type_symbol
_atom_site_fract_x
_atom_site_fract_y
_atom_site_fract_z
Cr1 Cr 0.000 0.000 0.000
As1 As 0.000 0.500 0.000
P1 P 0.000 0.000 0.500

Record 3
# La3TbNd6Tm2, optimized geometry, DFT PBE
# energy of formation = 0.021 eV/atom
# V = 829.3 Å³ per cell
# E = -4.73 eV/atom
# crystal system = monoclinic
# calculated density = 7.124 g/cm³
data_La3TbNd6Tm2
_cell_length_a 6.339
_cell_length_b 10.990
_cell_length_c 12.092
_cell_angle_alpha 90.00
_cell_angle_beta 100.09
_cell_angle_gamma 90.00
_space_group_name_H-M_alt 'C 1 2/m 1'
_space_group_IT_number 12
loop_
_space_group_symop_operation_xyz
'x,y,z'
'-x,-y,-z'
'-x,y,-z'
'x,-y,z'
'x+1/2,y+1/2,z'
'-x+1/2,-y+1/2,-z'
'-x+1/2,y+1/2,-z'
'x+1/2,-y+1/2,z'
loop_
_atom_site_label
_atom_site_type_symbol
_atom_site_fract_x
_atom_site_fract_y
_atom_site_fract_z
La1 La 0.000 0.000 0.000
La2 La 0.000 0.333 0.000
Tb1 Tb 0.000 0.500 0.500
Nd1 Nd 0.247 0.000 0.743
Nd2 Nd 0.248 0.333 0.743
Tm1 Tm 0.000 0.167 0.500

Record 4
# PmGa2Ag, optimized geometry, DFT PBE
# energy of formation = -0.287 eV/atom
# relative energy among the computed polymorphs = 0.202 eV per atom
# V = 83.2 Å³ per cell
# E = -3.70 eV/atom
# crystal system = tetragonal
# calculated density = 7.832 g/cm³
data_PmGa2Ag
_cell_length_a 3.441
_cell_length_b 3.441
_cell_length_c 7.026
_cell_angle_alpha 90.00
_cell_angle_beta 90.00
_cell_angle_gamma 90.00
_space_group_name_H-M_alt 'P 4/m m m'
_space_group_IT_number 123
_space_group_name_Hall '-P 4 2'
loop_
_atom_site_label
_atom_site_type_symbol
_atom_site_fract_x
_atom_site_fract_y
_atom_site_fract_z
Pm1 Pm 0.000 0.000 0.000
Ga1 Ga 0.500 0.500 0.292
Ag1 Ag 0.000 0.000 0.500

Record 5
# Er2Te2O, optimized geometry, DFT PBE
# relative energy among the computed polymorphs = 0.007 eV per atom
# V = 494.7 Å³ per cell
# E = -6.15 eV/atom
# formation energy from raw total energies = -2.0779 eV per atom
# crystal system = orthorhombic
# calculated density = 8.133 g/cm³
data_Er2Te2O
_cell_length_a 7.234
_cell_length_b 11.595
_cell_length_c 5.897
_cell_angle_alpha 90.00
_cell_angle_beta 90.00
_cell_angle_gamma 90.00
_space_group_name_H-M_alt 'I b a m'
_space_group_IT_number 72
_space_group_name_Hall '-I 2 2c'
loop_
_atom_site_label
_atom_site_type_symbol
_atom_site_fract_x
_atom_site_fract_y
_atom_site_fract_z
Er1 Er 0.191 0.091 0.000
Te1 Te 0.138 0.354 0.000
O1 O 0.000 0.000 0.250

Record 6
# ScBe2IrSe, optimized geometry, DFT PBE
# V = 83.7 Å³ per cell
# E = -4.77 eV/atom
# formation energy from raw total energies = 0.4577 eV per atom
# crystal system = tetragonal
# calculated density = 6.632 g/cm³
data_ScBe2IrSe
_cell_length_a 4.098
_cell_length_b 4.098
_cell_length_c 4.982
_cell_angle_alpha 90.00
_cell_angle_beta 90.00
_cell_angle_gamma 90.00
_space_group_name_H-M_alt 'P 4/m m m'
_space_group_IT_number 123
_space_group_name_Hall '-P 4 2'
loop_
_atom_site_label
_atom_site_type_symbol
_atom_site_fract_x
_atom_site_fract_y
_atom_site_fract_z
Sc1 Sc 0.000 0.000 0.000
Be1 Be 0.000 0.500 0.500
Ir1 Ir 0.500 0.500 0.000
Se1 Se 0.000 0.000 0.500

Record 7
# Zr4Se3, optimized geometry, DFT PBE
# relative energy among the computed polymorphs = 0.708 eV per atom
# V = 150.5 Å³ per cell
# E = -6.57 eV/atom
# formation energy from raw total energies = -0.1903 eV per atom
# crystal system = hexagonal
# calculated density = 6.638 g/cm³
data_Zr4Se3
_cell_length_a 5.9632
_cell_length_b 5.9632
_cell_length_c 4.8885
_cell_angle_alpha 90.00
_cell_angle_beta 90.00
_cell_angle_gamma 120.00
_space_group_name_H-M_alt 'P 6/m m m'
_space_group_IT_number 191
_space_group_name_Hall '-P 6 2'
loop_
_atom_site_label
_atom_site_type_symbol
_atom_site_fract_x
_atom_site_fract_y
_atom_site_fract_z
Zr1 Zr 0.0000 0.0000 0.2422
Zr2 Zr 0.3333 0.6667 0.0000
Se1 Se 0.0000 0.5000 0.5000

Record 8
# La3Pm5As8, optimized geometry, DFT PBE
# energy of formation = -1.541 eV/atom
# V = 1340.4 Å³ per cell
# E = -6.27 eV/atom
# crystal system = trigonal
# calculated density = 6.471 g/cm³
data_La3Pm5As8
_cell_length_a 8.5820
_cell_length_b 8.5820
_cell_length_c 21.0152
_cell_angle_alpha 90.00
_cell_angle_beta 90.00
_cell_angle_gamma 120.00
_space_group_name_H-M_alt 'R -3 m'
_space_group_IT_number 166
_space_group_name_Hall '-R 3 2"'
loop_
_atom_site_label
_atom_site_type_symbol
_atom_site_fract_x
_atom_site_fract_y
_atom_site_fract_z
La1 La 0.0000 0.5000 0.0000
Pm1 Pm 0.0000 0.0000 0.0000
Pm2 Pm 0.0000 0.0000 0.5000
Pm3 Pm 0.0000 0.5000 0.5000
As1 As 0.0000 0.0000 0.2479
As2 As 0.0027 0.5013 0.7513

Record 9
# Co3GeB, optimized geometry, DFT PBE
# energy of formation = -0.051 eV/atom
# relative energy among the computed polymorphs = 0.061 eV per atom
# V = 53.8 Å³ per cell
# E = -6.57 eV/atom
# crystal system = cubic
# calculated density = 8.034 g/cm³
data_Co3GeB
_cell_length_a 3.775
_cell_length_b 3.775
_cell_length_c 3.775
_cell_angle_alpha 90.00
_cell_angle_beta 90.00
_cell_angle_gamma 90.00
_space_group_name_H-M_alt 'P m -3 m'
_space_group_IT_number 221
_space_group_name_Hall '-P 4 2 3'
loop_
_atom_site_label
_atom_site_type_symbol
_atom_site_fract_x
_atom_site_fract_y
_atom_site_fract_z
Co1 Co 0.000 0.000 0.500
Ge1 Ge 0.500 0.500 0.500
B1 B 0.000 0.000 0.000

Record 10
# PuCdAgO5, optimized geometry, DFT PBE
# V = 540.2 Å³ per cell
# E = -6.87 eV/atom
# formation energy from raw total energies = -1.5060 eV per atom
# crystal system = monoclinic
# calculated density = 6.692 g/cm³
data_PuCdAgO5
_cell_length_a 7.356
_cell_length_b 10.695
_cell_length_c 7.316
_cell_angle_alpha 90.00
_cell_angle_beta 110.18
_cell_angle_gamma 90.00
_space_group_name_H-M_alt 'C 1 2/c 1'
_space_group_IT_number 15
loop_
_space_group_symop_operation_xyz
'x,y,z'
'-x,-y,-z'
'-x,y,-z+1/2'
'x,-y,z+1/2'
'x+1/2,y+1/2,z'
'-x+1/2,-y+1/2,-z'
'-x+1/2,y+1/2,-z+1/2'
'x+1/2,-y+1/2,z+1/2'
loop_
_atom_site_label
_atom_site_type_symbol
_atom_site_fract_x
_atom_site_fract_y
_atom_site_fract_z
Pu1 Pu 0.250 0.250 0.000
Cd1 Cd 0.000 0.012 0.250
Ag1 Ag 0.000 0.491 0.750
O1 O 0.000 0.207 0.750
O2 O 0.094 0.328 0.113
O3 O 0.194 0.068 0.097

Record 11
# PmDy2RuN4, optimized geometry, DFT PBE
# V = 465.0 Å³ per cell
# E = -8.09 eV/atom
# formation energy from raw total energies = -1.0218 eV per atom
# crystal system = orthorhombic
# calculated density = 8.957 g/cm³
data_PmDy2RuN4
_cell_length_a 3.429
_cell_length_b 11.660
_cell_length_c 11.631
_cell_angle_alpha 90.00
_cell_angle_beta 90.00
_cell_angle_gamma 90.00
_space_group_name_H-M_alt 'C m c m'
_space_group_IT_number 63
_space_group_name_Hall '-C 2c 2'
loop_
_atom_site_label
_atom_site_type_symbol
_atom_site_fract_x
_atom_site_fract_y
_atom_site_fract_z
Pm1 Pm 0.000 0.122 0.250
Dy1 Dy 0.000 0.369 0.042
Ru1 Ru 0.000 0.142 0.750
N1 N 0.000 0.000 0.000
N2 N 0.000 0.268 0.628
N3 N 0.000 0.443 0.250

Record 12
# RbMgSnSb2, optimized geometry, DFT PBE
# relative energy among the computed polymorphs = 0.000 eV per atom
# V = 734.5 Å³ per cell
# E = -3.24 eV/atom
# formation energy from raw total energies = -0.2790 eV per atom
# crystal system = monoclinic
# calculated density = 4.268 g/cm³
data_RbMgSnSb2
_cell_length_a 15.183
_cell_length_b 4.951
_cell_length_c 11.956
_cell_angle_alpha 90.00
_cell_angle_beta 125.19
_cell_angle_gamma 90.00
_space_group_name_H-M_alt 'C 1 2/m 1'
_space_group_IT_number 12
loop_
_space_group_symop_operation_xyz
'x,y,z'
'-x,-y,-z'
'-x,y,-z'
'x,-y,z'
'x+1/2,y+1/2,z'
'-x+1/2,-y+1/2,-z'
'-x+1/2,y+1/2,-z'
'x+1/2,-y+1/2,z'
loop_
_atom_site_label
_atom_site_type_symbol
_atom_site_fract_x
_atom_site_fract_y
_atom_site_fract_z
Rb1 Rb 0.165 0.000 0.146
Mg1 Mg 0.066 0.000 0.728
Sn1 Sn 0.134 0.500 0.409
Sb1 Sb 0.075 0.500 0.856
Sb2 Sb 0.146 0.000 0.556

- Which of these has the highest E?
  RbMgSnSb2